[1]
# PBE TlTcAs2O8, optimized geometry
# ΔE_f (raw) = -1.135 eV per atom
data_TlTcAs2O8
_chemical_formula_sum 'Tl2 Tc2 As4 O16'
_cell_length_a 8.5728
_cell_length_b 5.4854
_cell_length_c 8.4533
_cell_angle_alpha 90.00
_cell_angle_beta 93.91
_cell_angle_gamma 90.00
_symmetry_space_group_name_H-M 'C 1 2/m 1'
_symmetry_Int_Tables_number 12
loop_
_symmetry_equiv_pos_as_xyz
'x,y,z'
'-x,-y,-z'
'-x,y,-z'
'x,-y,z'
'x+1/2,y+1/2,z'
'-x+1/2,-y+1/2,-z'
'-x+1/2,y+1/2,-z'
'x+1/2,-y+1/2,z'
loop_
_atom_site_label
_atom_site_type_symbol
_atom_site_fract_x
_atom_site_fract_y
_atom_site_fract_z
Tl1 Tl 0.0000 0.0000 0.0000
Tc1 Tc 0.0000 0.0000 0.5000
As1 As 0.1350 0.5000 0.3053
O1 O 0.0116 0.2495 0.3337
O2 O 0.1933 0.5000 0.1218
O3 O 0.2287 0.0000 0.5311

***

[2]
# PBE Sc3Pd2, optimized geometry
# Offset from the most stable computed form = 0 meV/atom
# DFT formation energy = -0.7053 eV/atom
data_Sc3Pd2
_chemical_formula_sum 'Sc6 Pd4'
_cell_length_a 3.2756
_cell_length_b 3.2756
_cell_length_c 18.1441
_cell_angle_alpha 90.00
_cell_angle_beta 90.00
_cell_angle_gamma 90.00
_symmetry_space_group_name_H-M 'P 4/m m m'
_symmetry_Int_Tables_number 123
_symmetry_space_group_name_Hall '-P 4 2'
loop_
_atom_site_label
_atom_site_type_symbol
_atom_site_fract_x
_atom_site_fract_y
_atom_site_fract_z
Sc1 Sc 0.0000 0.0000 0.0000
Sc2 Sc 0.0000 0.0000 0.1872
Sc3 Sc 0.0000 0.0000 0.3721
Sc4 Sc 0.5000 0.5000 0.5000
Pd1 Pd 0.5000 0.5000 0.0935
Pd2 Pd 0.5000 0.5000 0.2778

***

[3]
# PBE SnHg2Pb2, optimized geometry
# Offset from the most stable computed form = 97 meV/atom
# DFT formation energy = 0.1199 eV/atom
data_SnHg2Pb2
_chemical_formula_sum 'Sn2 Hg4 Pb4'
_cell_length_a 8.8422
_cell_length_b 8.8422
_cell_length_c 3.7579
_cell_angle_alpha 90.00
_cell_angle_beta 90.00
_cell_angle_gamma 90.00
_symmetry_space_group_name_H-M 'P 4/m b m'
_symmetry_Int_Tables_number 127
_symmetry_space_group_name_Hall '-P 4 2ab'
loop_
_atom_site_label
_atom_site_type_symbol
_atom_site_fract_x
_atom_site_fract_y
_atom_site_fract_z
Sn1 Sn 0.0000 0.0000 0.0000
Hg1 Hg 0.1569 0.3431 0.5000
Pb1 Pb 0.1441 0.6441 0.0000

***

[4]
# PBE Cs4As2Pt, optimized geometry
# DFT formation energy = -0.4020 eV/atom
data_Cs4As2Pt
_chemical_formula_sum 'Cs12 As6 Pt3'
_cell_length_a 6.2159
_cell_length_b 6.2159
_cell_length_c 29.0048
_cell_angle_alpha 90.00
_cell_angle_beta 90.00
_cell_angle_gamma 120.00
_symmetry_space_group_name_H-M 'R -3 m'
_symmetry_Int_Tables_number 166
_symmetry_space_group_name_Hall '-R 3 2"'
loop_
_atom_site_label
_atom_site_type_symbol
_atom_site_fract_x
_atom_site_fract_y
_atom_site_fract_z
Cs1 Cs 0.0000 0.0000 0.1301
Cs2 Cs 0.0000 0.0000 0.2901
As1 As 0.0000 0.0000 0.4180
Pt1 Pt 0.0000 0.0000 0.5000